Record 1
DFT (PBE) results for a relaxed ZrCd2Hg crystal.

Unit cell a=5.510 b=5.510 c=5.510 alpha=132.83 beta=132.83 gamma=68.91
Sites, in units of the cell vectors:
Cd 0.000 0.000 0.000
Cd 0.500 0.500 0.000
Hg 0.250 0.750 0.500
Zr 0.750 0.250 0.500

## Properties
**Formation energy**: 0.0488 eV/atom
**Space-group type**: I4/mmm (139)
**Magnetic moment**: 0.000 μB/atom
**Crystal system**: tetragonal

***

Record 2
DFT (PBE) results for a relaxed YCoGe3 crystal.

Unit cell a=5.340 b=5.340 c=5.340 alpha=90.00 beta=90.00 gamma=90.00
Each line ends with the local moment (μB).
Sites, in units of the cell vectors:
Y 0.000 0.000 0.000  0.04
Ge 0.000 0.500 0.000  0.03
Ge 0.000 0.000 0.500  0.00
Ge 0.500 0.000 0.000  -0.01
Co 0.500 0.500 0.500  2.21

## Properties
**Formation energy**: 1.3114 eV/atom
**Space-group type**: Pm-3m (221)
**Magnetic moment**: 0.463 μB/atom
**Crystal system**: cubic

***

Record 3
DFT (PBE) results for a relaxed SrCu2Tc crystal.

Unit cell a=5.322 b=5.322 c=5.322 alpha=135.89 beta=135.89 gamma=64.14
Each line ends with the local moment (μB).
Sites, in units of the cell vectors:
Cu 0.000 0.000 0.000  0.03
Cu 0.250 0.750 0.500  0.02
Sr 0.500 0.500 0.000  0.00
Tc 0.750 0.250 0.500  0.91

## Properties
**Formation energy**: 0.7576 eV/atom
**Space-group type**: I-4m2 (119)
**Magnetic moment**: 0.241 μB/atom
**Crystal system**: tetragonal

***

Record 4
DFT (PBE) results for a relaxed TbPr2DyBi5 crystal.

Unit cell a=5.458 b=5.458 c=11.949 alpha=90.00 beta=90.00 gamma=90.00
Sites, in units of the cell vectors:
Tb 0.000 0.000 0.500
Pr 0.500 0.500 0.276
Pr 0.500 0.500 0.724
Dy 0.000 0.000 0.000
Bi 0.000 0.500 0.500
Bi 0.500 0.000 0.500
Bi 0.000 0.000 0.754
Bi 0.000 0.000 0.246
Bi 0.500 0.500 0.000

## Properties
**Formation energy**: -0.1341 eV/atom
**Space-group type**: P4/mmm (123)
**Magnetic moment**: 0.000 μB/atom
**Crystal system**: tetragonal

***

Record 5
DFT (PBE) results for a relaxed LiAcIn4Ag2 crystal.

Unit cell a=4.800 b=4.800 c=10.096 alpha=76.25 beta=76.25 gamma=60.00
Sites, in units of the cell vectors:
Li 0.500 0.500 0.500
Ac 0.000 0.000 0.000
In 0.400 0.400 0.800
In 0.872 0.872 0.385
In 0.128 0.128 0.615
In 0.600 0.600 0.200
Ag 0.767 0.767 0.698
Ag 0.233 0.233 0.302

## Properties
**Formation energy**: -0.2445 eV/atom
**Space-group type**: R-3m (166)
**Magnetic moment**: 0.000 μB/atom
**Crystal system**: trigonal

***

Record 6
DFT (PBE) results for a relaxed Mg8Ir2Au crystal.

Unit cell a=4.488 b=6.704 c=7.744 alpha=112.54 beta=106.84 gamma=90.00
Sites, in units of the cell vectors:
Mg 0.378 0.558 0.755
Mg 0.671 0.914 0.341
Mg 0.825 0.762 0.650
Mg 0.976 0.265 0.951
Mg 0.175 0.238 0.350
Mg 0.329 0.086 0.659
Mg 0.622 0.442 0.245
Mg 0.024 0.735 0.049
Ir 0.808 0.336 0.615
Ir 0.192 0.664 0.385
Au 0.500 0.000 0.000

## Properties
**Formation energy**: -0.3509 eV/atom
**Space-group type**: C2/m (12)
**Magnetic moment**: 0.000 μB/atom
**Crystal system**: monoclinic

***

Record 7
DFT (PBE) results for a relaxed LiNdSm crystal.

Unit cell a=3.763 b=3.763 c=6.847 alpha=105.95 beta=105.95 gamma=90.00
Each line ends with the local moment (μB).
Sites, in units of the cell vectors:
Nd 0.013 0.013 0.026  0.06
Sm 0.319 0.319 0.638  0.06
Li 0.668 0.668 0.336  0.00

## Properties
**Formation energy**: 0.0813 eV/atom
**Space-group type**: I4mm (107)
**Magnetic moment**: 0.074 μB/atom
**Crystal system**: tetragonal

***

Record 8
DFT (PBE) results for a relaxed TbY4Te5 crystal.

Unit cell a=4.339 b=4.339 c=15.968 alpha=97.81 beta=97.81 gamma=90.00
Sites, in units of the cell vectors:
Tb 0.000 0.000 0.000
Y 0.405 0.405 0.810
Y 0.792 0.792 0.584
Y 0.208 0.208 0.416
Y 0.595 0.595 0.190
Te 0.103 0.103 0.205
Te 0.500 0.500 0.000
Te 0.897 0.897 0.795
Te 0.306 0.306 0.611
Te 0.694 0.694 0.389

## Properties
**E_form (uncorrected)**: -1.310 eV/atom
**Space-group type**: I4/mmm (139)
**Magnetic moment**: 0.000 μB/atom
**Crystal system**: tetragonal

***

What is the formula in the fifth record?
LiAcIn4Ag2

***

Repeat the third record exactly.
DFT (PBE) results for a relaxed SrCu2Tc crystal.

Unit cell a=5.322 b=5.322 c=5.322 alpha=135.89 beta=135.89 gamma=64.14
Each line ends with the local moment (μB).
Sites, in units of the cell vectors:
Cu 0.000 0.000 0.000  0.03
Cu 0.250 0.750 0.500  0.02
Sr 0.500 0.500 0.000  0.00
Tc 0.750 0.250 0.500  0.91

## Properties
**Formation energy**: 0.7576 eV/atom
**Space-group type**: I-4m2 (119)
**Magnetic moment**: 0.241 μB/atom
**Crystal system**: tetragonal

***

Number 7 is which compound?
LiNdSm

***

magnetic moment of number 3 (SrCu2Tc)?
0.241 μB/atom